First-principles (GGA-PBE) data for crystalline Tl3Cd2I8 at its relaxed geometry, as listed in the Alexandria database.

Geometry as POSCAR:
```
Tl3Cd2I8
1.0
8.825 0.000 0.000
4.412 7.642 0.000
4.412 2.547 9.138
Tl Cd I
3 2 8
Direct
0.000 0.000 0.000
0.813 0.813 0.560
0.187 0.187 0.440
0.594 0.594 0.218
0.406 0.406 0.782
0.697 0.697 0.910
0.303 0.303 0.090
0.212 0.746 0.295
0.746 0.212 0.295
0.746 0.746 0.295
0.254 0.788 0.705
0.788 0.254 0.705
0.254 0.254 0.705
```

Properties
As for the crystal system: trigonal. The formation energy (no corrections) is -471 meV/atom. As for the excess energy over the best structure of this formula in the dataset: 0.71 eV/f.u. Its space-group type is R-3m (166).

---

First-principles (GGA-PBE) data for crystalline Dy2TaSi3Pt4 at its relaxed geometry, as listed in the Alexandria database.

Geometry as POSCAR:
```
Dy2TaSi3Pt4
1.0
4.158 0.000 0.000
0.000 4.158 0.000
0.000 0.000 10.488
Dy Ta Si Pt
2 1 3 4
Direct
0.500 0.000 0.236
0.000 0.500 0.764
0.500 0.500 0.500
0.000 0.000 0.500
0.500 0.000 0.867
0.000 0.500 0.133
0.500 0.500 0.000
0.000 0.000 0.000
0.500 0.000 0.642
0.000 0.500 0.358
```

Properties
As for the crystal system: tetragonal. The formation energy (no corrections) is -997 meV/atom. Its space-group type is P-4m2 (115).